# 1
Here is an optimized crystal structure of As2Pb4Br3 from Alexandria via LeMat-Bulk. Energies are from GGA-PBE.

Lattice parameters (Å, degrees): 7.5310 4.3476 18.0970 90.00 90.05 90.00
Space group C2/m (No. 12)
Unique sites:
As: 0.1675 0.0000 0.2075 (multiplicity 4)
Pb: 0.0013 0.5000 0.3074 (multiplicity 4)
Pb: 0.1659 0.0000 0.8760 (multiplicity 4)
Br: 0.0000 0.5000 0.0000 (multiplicity 2)
Br: 0.1654 0.0000 0.5945 (multiplicity 4)

Values from the calculation:
As for the total energy: -3.6638 eV per atom. For the total magnetization, the calculation gives 0.0 μB per cell.

# 2
Here is an optimized crystal structure of TeP from Alexandria via LeMat-Bulk. Energies are from GGA-PBE.

Lattice parameters (Å, degrees): 3.6623 14.1757 8.6808 90.00 90.00 90.00
Space group Amm2 (No. 38)
Unique sites:
Te: 0.0000 0.0000 0.0000 (multiplicity 2)
Te: 0.5000 0.2387 0.4026 (multiplicity 4)
P: 0.0000 0.1913 0.0665 (multiplicity 4)
P: 0.5000 0.0000 0.1988 (multiplicity 2)

Values from the calculation:
As for the total energy: -3.8967 eV per atom. For the total magnetization, the calculation gives 0.0 μB per cell.

# 3
Here is an optimized crystal structure of KCu4F8 from Alexandria via LeMat-Bulk. Energies are from GGA-PBE.

Lattice parameters (Å, degrees): 12.1169 5.9708 7.9498 90.00 128.83 90.00
Space group C2/m (No. 12)
Unique sites:
K: 0.0000 0.0000 0.0000 (multiplicity 2)
Cu: 0.0000 0.2505 0.5000 (multiplicity 4)
Cu: 0.2355 0.5000 0.4777 (multiplicity 4)
F: 0.0010 0.5000 0.6641 (multiplicity 4)
F: 0.0019 0.0000 0.6643 (multiplicity 4)
F: 0.2311 0.2413 0.3197 (multiplicity 8)

Values from the calculation:
As for the total energy: -4.1550 eV per atom. For the total magnetization, the calculation gives 6.0 μB per cell.

The following formation energy (no corrections) values (in eV/atom) correspond, in order, to the records above: -0.42 0.38 -1.66.